[1]
# BaIrBr2 (GGA-PBE, optimized geometry)
# Total magnetization = 0.000 Bohr magnetons per cell
# E_form (uncorrected) = -136 kJ/mol of formula units
# Energy above the most stable polymorph in this dataset = 281 meV/atom
data_BaIrBr2
_symmetry_space_group_name_H-M 'P 4 m m'
_symmetry_Int_Tables_number 99
_symmetry_space_group_name_Hall 'P 4 -2'
_cell_length_a 3.7449
_cell_length_b 3.7449
_cell_length_c 8.4341
_cell_angle_alpha 90.00
_cell_angle_beta 90.00
_cell_angle_gamma 90.00
loop_
_atom_site_label
_atom_site_fract_x
_atom_site_fract_y
_atom_site_fract_z
Ba1 0.0000 0.0000 0.0000
Ir1 0.5000 0.5000 0.6963
Br1 0.0000 0.0000 0.6350
Br2 0.5000 0.5000 0.2234

=====

[2]
# TcIrRu4 (GGA-PBE, optimized geometry)
# Formation enthalpy at 0 K = -73 meV/atom
# Total magnetization = 0.000 Bohr magnetons per cell
# Energy above the most stable polymorph in this dataset = 0 meV/atom
data_TcIrRu4
_symmetry_space_group_name_H-M 'P 1 m 1'
_symmetry_Int_Tables_number 6
_symmetry_space_group_name_Hall 'P -2y'
_cell_length_a 2.7376
_cell_length_b 4.3232
_cell_length_c 7.2667
_cell_angle_alpha 90.00
_cell_angle_beta 101.02
_cell_angle_gamma 90.00
loop_
_atom_site_label
_atom_site_fract_x
_atom_site_fract_y
_atom_site_fract_z
Tc1 0.0000 0.0000 0.0000
Ir1 0.2244 0.5000 0.4471
Ru1 0.3360 0.0000 0.6732
Ru2 0.5572 0.5000 0.1126
Ru3 0.6679 0.0000 0.3367
Ru4 0.8925 0.5000 0.7848

=====

[3]
# Ba2CuOs (GGA-PBE, optimized geometry)
# Formation enthalpy at 0 K = 399 meV/atom
# Total magnetization = 0.000 Bohr magnetons per cell
# Energy above the most stable polymorph in this dataset = 0 meV/atom
data_Ba2CuOs
_symmetry_space_group_name_H-M 'A m m 2'
_symmetry_Int_Tables_number 38
_symmetry_space_group_name_Hall 'A 2 -2'
_cell_length_a 4.5077
_cell_length_b 4.8318
_cell_length_c 11.2866
_cell_angle_alpha 90.00
_cell_angle_beta 90.00
_cell_angle_gamma 90.00
loop_
_atom_site_label
_atom_site_fract_x
_atom_site_fract_y
_atom_site_fract_z
Ba1 0.0000 0.0000 0.0000
Ba2 0.5000 0.0000 0.2862
Cu1 0.0000 0.0000 0.6885
Os1 0.5000 0.0000 0.6082